[1]
DFT (PBE-GGA) results for an optimized crystal structure of Nd8Tl2Cd.

Values from the calculation:
Size of the total moment in μB per cell: 0.0
Raw total energy in eV/cell: -45.76
Energy relative to the elements in eV/f.u.: -2.0
ΔE to the lowest computed polymorph in meV/atom: 0.0
Mass density in kg/m3: 7825
Crystal system: monoclinic

Lattice parameters (Å, degrees): 8.871 8.871 8.895 119.60 119.60 36.49
Sites, in units of the cell vectors:
1 Nd 0.068 0.068 0.220
2 Nd 0.135 0.135 0.683
3 Nd 0.321 0.321 0.555
4 Nd 0.409 0.409 0.055
5 Nd 0.591 0.591 0.945
6 Nd 0.679 0.679 0.445
7 Nd 0.865 0.865 0.317
8 Nd 0.932 0.932 0.780
9 Tl 0.228 0.228 0.124
10 Tl 0.772 0.772 0.876
11 Cd 0.500 0.500 0.500


[2]
DFT (PBE-GGA) results for an optimized crystal structure of Nd2Tl2Cd.

Values from the calculation:
Size of the total moment in μB per cell: 0.0
Raw total energy in eV/cell: -32.21
Energy relative to the elements in eV/f.u.: -0.9
ΔE to the lowest computed polymorph in meV/atom: 133.7
Mass density in kg/m3: 8539
Crystal system: orthorhombic

Lattice parameters (Å, degrees): 8.247 8.247 8.247 128.68 72.41 132.63
Sites, in units of the cell vectors:
1 Nd 0.137 0.206 0.343
2 Nd 0.363 0.706 0.068
3 Nd 0.637 0.294 0.932
4 Nd 0.863 0.794 0.657
5 Tl 0.122 0.758 0.881
6 Tl 0.378 0.258 0.636
7 Tl 0.622 0.742 0.364
8 Tl 0.878 0.242 0.119
9 Cd 0.250 0.750 0.500
10 Cd 0.750 0.250 0.500


[3]
DFT (PBE-GGA) results for an optimized crystal structure of Nd5TlCd6.

Values from the calculation:
Size of the total moment in μB per cell: 0.4
Raw total energy in eV/cell: -35.01
Energy relative to the elements in eV/f.u.: -3.3
Mass density in kg/m3: 7880
Crystal system: orthorhombic

Lattice parameters (Å, degrees): 9.342 9.342 9.342 147.20 129.57 61.47
Sites, in units of the cell vectors:
1 Nd 0.000 0.000 0.000
2 Nd 0.172 0.672 0.500
3 Nd 0.344 0.344 0.000
4 Nd 0.656 0.656 0.000
5 Nd 0.828 0.328 0.500
6 Tl 0.500 0.000 0.500
7 Cd 0.084 0.834 0.249
8 Cd 0.240 0.500 0.740
9 Cd 0.415 0.166 0.249
10 Cd 0.585 0.834 0.751
11 Cd 0.760 0.500 0.260
12 Cd 0.916 0.166 0.751


[4]
DFT (PBE-GGA) results for an optimized crystal structure of NdTlCd4.

Values from the calculation:
Size of the total moment in μB per cell: 0.0
Raw total energy in eV/cell: -11.57
Energy relative to the elements in eV/f.u.: -0.8
ΔE to the lowest computed polymorph in meV/atom: 78.1
Mass density in kg/m3: 8577
Crystal system: cubic

Lattice parameters (Å, degrees): 6.024 6.024 6.024 60.00 60.00 60.00
Sites, in units of the cell vectors:
1 Nd 0.000 0.000 0.000
2 Tl 0.750 0.750 0.750
3 Cd 0.374 0.374 0.374
4 Cd 0.374 0.374 0.877
5 Cd 0.374 0.877 0.374
6 Cd 0.877 0.374 0.374


[5]
DFT (PBE-GGA) results for an optimized crystal structure of Nd6TlCd2.

Values from the calculation:
Size of the total moment in μB per cell: 0.0
Raw total energy in eV/cell: -34.69
Energy relative to the elements in eV/f.u.: -1.9
ΔE to the lowest computed polymorph in meV/atom: 0.0
Mass density in kg/m3: 7623
Crystal system: orthorhombic

Lattice parameters (Å, degrees): 10.386 8.404 7.167 83.27 53.47 43.26
Sites, in units of the cell vectors:
1 Nd 0.155 0.845 0.155
2 Nd 0.178 0.488 0.512
3 Nd 0.488 0.178 0.822
4 Nd 0.512 0.822 0.178
5 Nd 0.822 0.512 0.488
6 Nd 0.845 0.155 0.845
7 Tl 0.500 0.500 0.500
8 Cd 0.168 0.168 0.832
9 Cd 0.832 0.832 0.168


[6]
DFT (PBE-GGA) results for an optimized crystal structure of Nd4Tl2Cd3.

Values from the calculation:
Size of the total moment in μB per cell: 0.5
Raw total energy in eV/cell: -29.13
Energy relative to the elements in eV/f.u.: -2.6
Mass density in kg/m3: 8513
Crystal system: monoclinic

Lattice parameters (Å, degrees): 5.329 5.329 10.490 90.04 90.04 60.02
Sites, in units of the cell vectors:
1 Nd 0.000 0.000 0.168
2 Nd 0.000 0.000 0.832
3 Nd 0.333 0.333 0.385
4 Nd 0.667 0.667 0.615
5 Tl 0.333 0.333 0.712
6 Tl 0.667 0.667 0.288
7 Cd 0.000 0.000 0.500
8 Cd 0.333 0.333 0.026
9 Cd 0.667 0.667 0.974


[7]
DFT (PBE-GGA) results for an optimized crystal structure of Nd5Tl2Cd2.

Values from the calculation:
Size of the total moment in μB per cell: 0.0
Raw total energy in eV/cell: -65.15
Energy relative to the elements in eV/f.u.: -2.2
Mass density in kg/m3: 7890
Crystal system: orthorhombic

Lattice parameters (Å, degrees): 9.588 9.588 7.630 90.00 90.00 54.39
Sites, in units of the cell vectors:
1 Nd 0.000 0.000 0.000
2 Nd 0.046 0.670 0.665
3 Nd 0.170 0.546 0.165
4 Nd 0.330 0.954 0.665
5 Nd 0.454 0.830 0.165
6 Nd 0.500 0.500 0.500
7 Nd 0.546 0.170 0.835
8 Nd 0.670 0.046 0.335
9 Nd 0.830 0.454 0.835
10 Nd 0.954 0.330 0.335
11 Tl 0.211 0.211 0.000
12 Tl 0.289 0.289 0.500
13 Tl 0.711 0.711 0.500
14 Tl 0.789 0.789 0.000
15 Cd 0.133 0.867 0.386
16 Cd 0.367 0.633 0.886
17 Cd 0.633 0.367 0.114
18 Cd 0.867 0.133 0.614


[8]
DFT (PBE-GGA) results for an optimized crystal structure of Nd4TlCd.

Values from the calculation:
Size of the total moment in μB per cell: 0.0
Raw total energy in eV/cell: -23.61
Energy relative to the elements in eV/f.u.: -1.3
ΔE to the lowest computed polymorph in meV/atom: 4.8
Mass density in kg/m3: 7850
Crystal system: monoclinic

Lattice parameters (Å, degrees): 7.159 7.159 7.549 105.32 105.32 30.54
Sites, in units of the cell vectors:
1 Nd 0.155 0.155 0.329
2 Nd 0.156 0.156 0.825
3 Nd 0.844 0.844 0.175
4 Nd 0.845 0.845 0.671
5 Tl 0.500 0.500 0.000
6 Cd 0.500 0.500 0.500


[9]
DFT (PBE-GGA) results for an optimized crystal structure of Nd2Tl2Cd3.

Values from the calculation:
Size of the total moment in μB per cell: 0.0
Raw total energy in eV/cell: -18.24
Energy relative to the elements in eV/f.u.: -1.2
Mass density in kg/m3: 8929
Crystal system: orthorhombic

Lattice parameters (Å, degrees): 11.752 11.752 3.515 90.00 90.00 156.65
Sites, in units of the cell vectors:
1 Nd 0.148 0.852 0.000
2 Nd 0.852 0.148 0.000
3 Tl 0.290 0.710 0.500
4 Tl 0.710 0.290 0.500
5 Cd 0.000 0.000 0.000
6 Cd 0.434 0.566 0.500
7 Cd 0.566 0.434 0.500


[10]
DFT (PBE-GGA) results for an optimized crystal structure of Nd9TlCd2.

Values from the calculation:
Size of the total moment in μB per cell: 0.0
Raw total energy in eV/cell: -48.81
Energy relative to the elements in eV/f.u.: -1.7
Mass density in kg/m3: 7705
Crystal system: tetragonal

Lattice parameters (Å, degrees): 4.992 4.992 14.939 90.00 90.00 90.00
Sites, in units of the cell vectors:
1 Nd 0.000 0.000 0.000
2 Nd 0.000 0.000 0.335
3 Nd 0.000 0.000 0.665
4 Nd 0.000 0.500 0.167
5 Nd 0.000 0.500 0.500
6 Nd 0.000 0.500 0.833
7 Nd 0.500 0.000 0.167
8 Nd 0.500 0.000 0.500
9 Nd 0.500 0.000 0.833
10 Tl 0.500 0.500 0.000
11 Cd 0.500 0.500 0.334
12 Cd 0.500 0.500 0.666


[11]
DFT (PBE-GGA) results for an optimized crystal structure of NdTl6Cd23.

Values from the calculation:
Size of the total moment in μB per cell: 0.0
Raw total energy in eV/cell: -39.60
Energy relative to the elements in eV/f.u.: 0.4
Mass density in kg/m3: 8735
Crystal system: cubic

Lattice parameters (Å, degrees): 10.207 10.207 10.207 60.00 60.00 60.00
Sites, in units of the cell vectors:
1 Nd 0.000 0.000 0.000
2 Tl 0.227 0.227 0.773
3 Tl 0.227 0.773 0.227
4 Tl 0.227 0.773 0.773
5 Tl 0.773 0.227 0.227
6 Tl 0.773 0.227 0.773
7 Tl 0.773 0.773 0.227
8 Cd 0.000 0.000 0.500
9 Cd 0.000 0.500 0.000
10 Cd 0.000 0.500 0.500
11 Cd 0.127 0.624 0.624
12 Cd 0.157 0.157 0.157
13 Cd 0.157 0.157 0.530
14 Cd 0.157 0.530 0.157
15 Cd 0.376 0.376 0.376
16 Cd 0.376 0.376 0.873
17 Cd 0.376 0.873 0.376
18 Cd 0.470 0.843 0.843
19 Cd 0.500 0.000 0.000
20 Cd 0.500 0.000 0.500
21 Cd 0.500 0.500 0.000
22 Cd 0.500 0.500 0.500
23 Cd 0.530 0.157 0.157
24 Cd 0.624 0.127 0.624
25 Cd 0.624 0.624 0.127
26 Cd 0.624 0.624 0.624
27 Cd 0.843 0.470 0.843
28 Cd 0.843 0.843 0.470
29 Cd 0.843 0.843 0.843
30 Cd 0.873 0.376 0.376


[12]
DFT (PBE-GGA) results for an optimized crystal structure of Nd7Tl2Cd.

Values from the calculation:
Size of the total moment in μB per cell: 0.3
Raw total energy in eV/cell: -39.62
Energy relative to the elements in eV/f.u.: -0.6
Mass density in kg/m3: 7523
Crystal system: trigonal

Lattice parameters (Å, degrees): 5.427 5.427 13.246 90.00 90.00 120.00
Sites, in units of the cell vectors:
1 Nd 0.000 0.000 0.000
2 Nd 0.000 0.000 0.263
3 Nd 0.000 0.000 0.736
4 Nd 0.333 0.667 0.412
5 Nd 0.333 0.667 0.884
6 Nd 0.667 0.333 0.127
7 Nd 0.667 0.333 0.586
8 Tl 0.000 0.000 0.499
9 Tl 0.667 0.333 0.845
10 Cd 0.333 0.667 0.146


[13]
DFT (PBE-GGA) results for an optimized crystal structure of Nd6Tl2Cd.

Values from the calculation:
Size of the total moment in μB per cell: 0.3
Raw total energy in eV/cell: -34.33
Energy relative to the elements in eV/f.u.: -0.1
ΔE to the lowest computed polymorph in meV/atom: 221.4
Mass density in kg/m3: 7185
Crystal system: monoclinic

Lattice parameters (Å, degrees): 9.077 9.077 5.290 104.67 104.67 49.98
Sites, in units of the cell vectors:
1 Nd 0.083 0.586 0.334
2 Nd 0.246 0.754 0.000
3 Nd 0.414 0.917 0.666
4 Nd 0.586 0.083 0.334
5 Nd 0.754 0.246 0.000
6 Nd 0.917 0.414 0.666
7 Tl 0.334 0.334 0.835
8 Tl 0.666 0.666 0.165
9 Cd 0.000 0.000 0.500


[14]
DFT (PBE-GGA) results for an optimized crystal structure of Nd4TlCd.

Values from the calculation:
Size of the total moment in μB per cell: 0.0
Raw total energy in eV/cell: -23.64
Energy relative to the elements in eV/f.u.: -1.3
ΔE to the lowest computed polymorph in meV/atom: 0.0
Mass density in kg/m3: 7835
Crystal system: orthorhombic

Lattice parameters (Å, degrees): 7.210 7.210 5.316 90.00 90.00 136.73
Sites, in units of the cell vectors:
1 Nd 0.154 0.846 0.000
2 Nd 0.344 0.656 0.500
3 Nd 0.656 0.344 0.500
4 Nd 0.846 0.154 0.000
5 Tl 0.500 0.500 0.000
6 Cd 0.000 0.000 0.500


[15]
DFT (PBE-GGA) results for an optimized crystal structure of Nd3Tl2Cd7.

Values from the calculation:
Size of the total moment in μB per cell: 0.0
Raw total energy in eV/cell: -27.90
Energy relative to the elements in eV/f.u.: -2.5
Mass density in kg/m3: 8618
Crystal system: trigonal

Lattice parameters (Å, degrees): 10.404 10.404 10.404 33.99 33.99 33.99
Sites, in units of the cell vectors:
1 Nd 0.000 0.000 0.000
2 Nd 0.142 0.142 0.142
3 Nd 0.858 0.858 0.858
4 Tl 0.335 0.335 0.335
5 Tl 0.665 0.665 0.665
6 Cd 0.079 0.592 0.592
7 Cd 0.408 0.408 0.921
8 Cd 0.408 0.921 0.408
9 Cd 0.500 0.500 0.500
10 Cd 0.592 0.079 0.592
11 Cd 0.592 0.592 0.079
12 Cd 0.921 0.408 0.408


[16]
DFT (PBE-GGA) results for an optimized crystal structure of Nd3Tl2Cd2.

Values from the calculation:
Size of the total moment in μB per cell: 0.0
Raw total energy in eV/cell: -23.19
Energy relative to the elements in eV/f.u.: -2.3
Mass density in kg/m3: 9049
Crystal system: orthorhombic

Lattice parameters (Å, degrees): 11.819 11.819 3.469 90.00 90.00 156.18
Sites, in units of the cell vectors:
1 Nd 0.000 0.000 0.000
2 Nd 0.155 0.845 0.000
3 Nd 0.845 0.155 0.000
4 Tl 0.422 0.578 0.500
5 Tl 0.578 0.422 0.500
6 Cd 0.283 0.717 0.500
7 Cd 0.717 0.283 0.500


[17]
DFT (PBE-GGA) results for an optimized crystal structure of Nd6TlCd2.

Values from the calculation:
Size of the total moment in μB per cell: 0.0
Raw total energy in eV/cell: -68.51
Energy relative to the elements in eV/f.u.: -1.5
ΔE to the lowest computed polymorph in meV/atom: 48.7
Mass density in kg/m3: 7431
Crystal system: orthorhombic

Lattice parameters (Å, degrees): 9.093 9.093 9.093 110.35 109.71 108.36
Sites, in units of the cell vectors:
1 Nd 0.053 0.230 0.823
2 Nd 0.253 0.300 0.552
3 Nd 0.253 0.700 0.953
4 Nd 0.266 0.585 0.319
5 Nd 0.266 0.947 0.681
6 Nd 0.408 0.230 0.177
7 Nd 0.592 0.770 0.823
8 Nd 0.734 0.053 0.319
9 Nd 0.734 0.415 0.681
10 Nd 0.747 0.300 0.047
11 Nd 0.747 0.700 0.448
12 Nd 0.947 0.770 0.177
13 Tl 0.000 0.500 0.500
14 Tl 0.500 0.500 0.000
15 Cd 0.000 0.138 0.138
16 Cd 0.000 0.862 0.862
17 Cd 0.365 0.000 0.365
18 Cd 0.635 0.000 0.635


[18]
DFT (PBE-GGA) results for an optimized crystal structure of Nd2TlCd3.

Values from the calculation:
Size of the total moment in μB per cell: 0.0
Raw total energy in eV/cell: -33.35
Energy relative to the elements in eV/f.u.: -2.0
Mass density in kg/m3: 8596
Crystal system: orthorhombic

Lattice parameters (Å, degrees): 10.114 9.478 6.219 77.15 66.01 36.83
Sites, in units of the cell vectors:
1 Nd 0.249 0.751 0.751
2 Nd 0.250 0.250 0.250
3 Nd 0.750 0.750 0.750
4 Nd 0.751 0.249 0.249
5 Tl 0.333 0.333 0.667
6 Tl 0.667 0.667 0.333
7 Cd 0.165 0.165 0.835
8 Cd 0.165 0.671 0.329
9 Cd 0.329 0.835 0.165
10 Cd 0.671 0.165 0.835
11 Cd 0.835 0.329 0.671
12 Cd 0.835 0.835 0.165


[19]
DFT (PBE-GGA) results for an optimized crystal structure of Nd5Tl3Cd.

Values from the calculation:
Size of the total moment in μB per cell: 0.0
Raw total energy in eV/cell: -69.78
Energy relative to the elements in eV/f.u.: -3.0
Mass density in kg/m3: 8756
Crystal system: hexagonal

Lattice parameters (Å, degrees): 9.635 9.635 6.826 90.00 90.00 120.00
Sites, in units of the cell vectors:
1 Nd 0.000 0.292 0.250
2 Nd 0.000 0.708 0.750
3 Nd 0.292 0.000 0.250
4 Nd 0.292 0.292 0.750
5 Nd 0.333 0.667 0.000
6 Nd 0.333 0.667 0.500
7 Nd 0.667 0.333 0.000
8 Nd 0.667 0.333 0.500
9 Nd 0.708 0.000 0.750
10 Nd 0.708 0.708 0.250
11 Tl 0.000 0.368 0.750
12 Tl 0.000 0.632 0.250
13 Tl 0.368 0.000 0.750
14 Tl 0.368 0.368 0.250
15 Tl 0.632 0.000 0.250
16 Tl 0.632 0.632 0.750
17 Cd 0.000 0.000 0.000
18 Cd 0.000 0.000 0.500


[20]
DFT (PBE-GGA) results for an optimized crystal structure of Nd3Tl4Cd.

Values from the calculation:
Size of the total moment in μB per cell: 0.0
Raw total energy in eV/cell: -26.34
Energy relative to the elements in eV/f.u.: -1.7
Mass density in kg/m3: 9312
Crystal system: orthorhombic

Lattice parameters (Å, degrees): 8.551 8.551 8.551 155.24 110.05 75.47
Sites, in units of the cell vectors:
1 Nd 0.000 0.000 0.000
2 Nd 0.285 0.785 0.500
3 Nd 0.715 0.215 0.500
4 Tl 0.114 0.375 0.739
5 Tl 0.364 0.625 0.739
6 Tl 0.636 0.375 0.261
7 Tl 0.886 0.625 0.261
8 Cd 0.500 0.500 0.000